Entry from the Alexandria database: a relaxed structure of In8SnBi2 (PBE).

Final energy   -3.02 eV/atom
Symmetry   Immm
Energy of formation   4 kJ per mole of atoms
Calculated density   7.4 g/cm3

Cell lengths 5.183, 7.855, 9.298 Å; angles 114.99, 106.18, 90.00 degrees
Sites, in units of the cell vectors:
1 In 0.152 0.152 0.304
2 In 0.356 0.578 0.712
3 In 0.644 0.422 0.288
4 In 0.000 0.700 0.000
5 In 0.356 0.134 0.712
6 In 0.000 0.300 0.000
7 In 0.644 0.866 0.288
8 In 0.848 0.848 0.696
9 Bi 0.796 0.296 0.591
10 Bi 0.204 0.704 0.409
11 Sn 0.500 0.000 0.000